Entry from OQMD: crystalline InCo15 at its relaxed geometry (GGA-PBE).

size of the total moment: 47.1 Bohr magnetons per cell
E above lowest polymorph: 0 meV per atom

```
InCo15
1.0
3.510 0.000 0.000
-0.001 3.511 0.000
-0.019 -0.022 41.223
In Co
2 30
direct
0.000 0.250 0.166
0.000 0.750 0.834
0.000 0.250 0.267
0.000 0.250 0.352
0.000 0.250 0.437
0.000 0.250 0.521
0.000 0.250 0.606
0.000 0.250 0.691
0.000 0.250 0.775
0.000 0.750 0.225
0.000 0.750 0.309
0.000 0.750 0.394
0.000 0.750 0.479
0.000 0.750 0.563
0.000 0.750 0.648
0.000 0.750 0.733
0.500 0.250 0.225
0.500 0.250 0.309
0.500 0.250 0.394
0.500 0.250 0.479
0.500 0.250 0.564
0.500 0.250 0.648
0.500 0.250 0.733
0.500 0.250 0.815
0.500 0.750 0.185
0.500 0.750 0.267
0.500 0.750 0.352
0.500 0.750 0.436
0.500 0.750 0.521
0.500 0.750 0.606
0.500 0.750 0.691
0.500 0.750 0.775
```

Entry from OQMD: crystalline InCo2 at its relaxed geometry (GGA-PBE).

size of the total moment: 6.7 Bohr magnetons per cell
energy: -27.0 eV/cell

```
InCo2
1.0
5.040 0.000 0.000
0.000 5.040 0.000
0.000 0.000 4.680
In Co
2 4
direct
0.000 0.000 0.000
0.500 0.500 0.500
0.152 0.152 0.500
0.348 0.652 0.000
0.652 0.348 0.000
0.848 0.848 0.500
```

Entry from OQMD: crystalline In3Co at its relaxed geometry (GGA-PBE).

size of the total moment: 0.0 Bohr magnetons per cell
energy: -61.6 eV/cell

```
In3Co
1.0
6.879 0.000 0.000
0.000 6.879 0.000
0.000 0.000 7.124
In Co
12 4
direct
0.000 0.500 0.000
0.000 0.500 0.500
0.154 0.154 0.244
0.154 0.154 0.756
0.346 0.654 0.256
0.346 0.654 0.744
0.500 0.000 0.000
0.500 0.000 0.500
0.654 0.346 0.256
0.654 0.346 0.744
0.846 0.846 0.244
0.846 0.846 0.756
0.151 0.849 0.000
0.349 0.349 0.500
0.651 0.651 0.500
0.849 0.151 0.000
```

Entry from OQMD: crystalline In4Co at its relaxed geometry (GGA-PBE).

size of the total moment: 0.0 Bohr magnetons per cell
E above lowest polymorph: 0 meV per atom

```
In4Co
1.0
9.713 0.000 0.000
0.000 9.713 0.000
0.000 0.000 9.777
In Co
32 8
direct
0.000 0.500 0.205
0.000 0.500 0.795
0.034 0.331 0.500
0.047 0.813 0.176
0.047 0.813 0.824
0.187 0.047 0.324
0.187 0.047 0.676
0.193 0.315 0.000
0.280 0.649 0.000
0.291 0.559 0.315
0.291 0.559 0.685
0.315 0.807 0.500
0.331 0.966 0.000
0.351 0.280 0.500
0.441 0.291 0.185
0.441 0.291 0.815
0.500 0.000 0.295
0.500 0.000 0.705
0.559 0.709 0.185
0.559 0.709 0.815
0.649 0.720 0.500
0.669 0.034 0.000
0.685 0.193 0.500
0.709 0.441 0.315
0.709 0.441 0.685
0.720 0.351 0.000
0.807 0.685 0.000
0.813 0.953 0.324
0.813 0.953 0.676
0.953 0.187 0.176
0.953 0.187 0.824
0.966 0.669 0.500
0.183 0.314 0.273
0.183 0.314 0.727
0.314 0.817 0.227
0.314 0.817 0.773
0.686 0.183 0.227
0.686 0.183 0.773
0.817 0.686 0.273
0.817 0.686 0.727
```